Entry 1:
Gd3InS6 | GGA-PBE | optimized geometry

```
data_Gd3InS6
_cell_length_a 13.574
_cell_length_b 16.578
_cell_length_c 3.883
_cell_angle_alpha 90.00
_cell_angle_beta 90.00
_cell_angle_gamma 90.00
_symmetry_space_group_name_H-M 'P n n m'
_symmetry_Int_Tables_number 58
_symmetry_space_group_name_Hall '-P 2 2n'
loop_
_atom_site_label
_atom_site_fract_x
_atom_site_fract_y
_atom_site_fract_z
Gd1 0.040 0.224 0.000
Gd2 0.189 0.646 0.000
Gd3 0.249 0.893 0.500
In1 0.000 0.000 0.500
In2 0.000 0.500 0.500
S1 0.021 0.395 0.000
S2 0.096 0.913 0.000
S3 0.112 0.117 0.500
S4 0.112 0.747 0.500
S5 0.182 0.286 0.500
S6 0.192 0.520 0.500
```


Entry 2:
NdEr2Cu4Sn4 | GGA-PBE | optimized geometry

```
data_NdEr2Cu4Sn4
_cell_length_a 4.449
_cell_length_b 7.065
_cell_length_c 14.762
_cell_angle_alpha 90.00
_cell_angle_beta 90.00
_cell_angle_gamma 90.00
_symmetry_space_group_name_H-M 'I m m m'
_symmetry_Int_Tables_number 71
_symmetry_space_group_name_Hall '-I 2 2'
loop_
_atom_site_label
_atom_site_fract_x
_atom_site_fract_y
_atom_site_fract_z
Nd1 0.000 0.000 0.000
Er1 0.000 0.500 0.131
Cu1 0.000 0.313 0.330
Sn1 0.000 0.000 0.219
Sn2 0.000 0.197 0.500
```


Entry 3:
LiHo | GGA-PBE | optimized geometry

```
data_LiHo
_cell_length_a 3.3318
_cell_length_b 3.3318
_cell_length_c 5.3989
_cell_angle_alpha 90.00
_cell_angle_beta 90.00
_cell_angle_gamma 120.00
_symmetry_space_group_name_H-M 'P -6 m 2'
_symmetry_Int_Tables_number 187
_symmetry_space_group_name_Hall 'P -6 2'
loop_
_atom_site_label
_atom_site_fract_x
_atom_site_fract_y
_atom_site_fract_z
Li1 0.0000 0.0000 0.0000
Ho1 0.3333 0.6667 0.5000
```


Entry 4:
NaHfBeAu | GGA-PBE | optimized geometry

```
data_NaHfBeAu
_cell_length_a 6.419
_cell_length_b 6.419
_cell_length_c 6.419
_cell_angle_alpha 90.00
_cell_angle_beta 90.00
_cell_angle_gamma 90.00
_symmetry_space_group_name_H-M 'F -4 3 m'
_symmetry_Int_Tables_number 216
_symmetry_space_group_name_Hall 'F -4 2 3'
loop_
_atom_site_label
_atom_site_fract_x
_atom_site_fract_y
_atom_site_fract_z
Na1 0.000 0.000 0.000
Hf1 0.250 0.250 0.250
Be1 0.250 0.250 0.750
Au1 0.000 0.000 0.500
```


Entry 5:
# PrCoTc4 | the Open Quantum Materials Database | GGA-PBE | optimized geometry
# Calculated formation energy (kcal/mol of atoms): 14.127
data_PrCoTc4
_cell_length_a 3.6945
_cell_length_b 3.6945
_cell_length_c 28.9897
_cell_angle_alpha 90.00
_cell_angle_beta 90.00
_cell_angle_gamma 120.00
_symmetry_space_group_name_H-M 'R -3 m'
_symmetry_Int_Tables_number 166
_symmetry_space_group_name_Hall '-R 3 2"'
loop_
_atom_site_label
_atom_site_fract_x
_atom_site_fract_y
_atom_site_fract_z
Pr1 0.0000 0.0000 0.0000
Co1 0.0000 0.0000 0.5000
Tc1 0.0000 0.0000 0.1209
Tc2 0.0000 0.0000 0.4133


Entry 6:
HfInFeNi | GGA-PBE | optimized geometry

```
data_HfInFeNi
_cell_length_a 6.279
_cell_length_b 6.279
_cell_length_c 6.279
_cell_angle_alpha 90.00
_cell_angle_beta 90.00
_cell_angle_gamma 90.00
_symmetry_space_group_name_H-M 'F -4 3 m'
_symmetry_Int_Tables_number 216
_symmetry_space_group_name_Hall 'F -4 2 3'
loop_
_atom_site_label
_atom_site_fract_x
_atom_site_fract_y
_atom_site_fract_z
Hf1 0.000 0.000 0.000
In1 0.000 0.000 0.500
Fe1 0.250 0.250 0.750
Ni1 0.250 0.250 0.250
```


Entry 7:
# Zn2HgW | the Open Quantum Materials Database | GGA-PBE | optimized geometry
# Calculated formation energy (kcal/mol of atoms): 17.824
data_Zn2HgW
_cell_length_a 6.477
_cell_length_b 6.477
_cell_length_c 6.477
_cell_angle_alpha 90.00
_cell_angle_beta 90.00
_cell_angle_gamma 90.00
_symmetry_space_group_name_H-M 'F -4 3 m'
_symmetry_Int_Tables_number 216
_symmetry_space_group_name_Hall 'F -4 2 3'
loop_
_atom_site_label
_atom_site_fract_x
_atom_site_fract_y
_atom_site_fract_z
Zn1 0.000 0.000 0.000
Zn2 0.250 0.250 0.250
Hg1 0.250 0.250 0.750
W1 0.000 0.000 0.500


Entry 8:
HfGaNi | GGA-PBE | optimized geometry

```
data_HfGaNi
_cell_length_a 6.7268
_cell_length_b 6.7268
_cell_length_c 3.5315
_cell_angle_alpha 90.00
_cell_angle_beta 90.00
_cell_angle_gamma 120.00
_symmetry_space_group_name_H-M 'P -6 2 m'
_symmetry_Int_Tables_number 189
_symmetry_space_group_name_Hall 'P -6 -2'
loop_
_atom_site_label
_atom_site_fract_x
_atom_site_fract_y
_atom_site_fract_z
Hf1 0.0000 0.5897 0.0000
Ga1 0.0000 0.2553 0.5000
Ni1 0.0000 0.0000 0.0000
Ni2 0.3333 0.6667 0.5000
```


| no. | V (Å³ per cell) | total DFT energy (no corrections) (eV for the cell shown) |
| --- | --- | --- |
| 1 | 873.8 | -233.9 |
| 2 | 464.0 | -100.6 |
| 3 | 51.9 | -6.1 |
| 4 | 264.5 | -70.9 |
| 5 | 342.7 | -148.9 |
| 6 | 247.5 | -109.7 |
| 7 | 271.7 | -50.8 |
| 8 | 138.4 | -61.4 |